1.
This record from Alexandria describes a geometry-optimized Sc2NiBiC structure. The functional is GGA-PBE.

Values from the calculation:
crystal system: tetragonal
D(E_F): 4.50 states/eV/f.u.
formation energy from the elements: -2.07 eV/f.u.

Lattice parameters (Å, degrees): 4.651 4.651 3.922 90.00 90.00 90.00
Space group P4/mmm (No. 123)
Inequivalent atoms, fractional coordinates:
1 Sc 0.000 0.500 0.000 x2
2 Ni 0.000 0.000 0.500 x1
3 Bi 0.500 0.500 0.500 x1
4 C 0.000 0.000 0.000 x1

2.
This record from Alexandria describes a geometry-optimized Ni2BiTeC structure. The functional is GGA-PBE.

Values from the calculation:
crystal system: tetragonal
D(E_F): 5.99 states/eV/f.u.
formation energy (no corrections): 848 kJ/mol of formula units

Lattice parameters (Å, degrees): 4.903 4.903 4.438 90.00 90.00 90.00
Space group P4/mmm (No. 123)
Inequivalent atoms, fractional coordinates:
1 Ni 0.000 0.500 0.000 x2
2 Bi 0.000 0.000 0.000 x1
3 Te 0.500 0.500 0.500 x1
4 C 0.000 0.000 0.500 x1

3.
This record from Alexandria describes a geometry-optimized Np2BiC structure. The functional is GGA-PBE.

Values from the calculation:
crystal system: trigonal
D(E_F): 6.53 states/eV/f.u.
formation energy from the elements: 1.03 eV/f.u.

Lattice parameters (Å, degrees): 4.0762 4.0762 17.0111 90.00 90.00 120.00
Space group R-3m (No. 166, hexagonal axes)
Inequivalent atoms, fractional coordinates:
1 Np 0.0000 0.0000 0.1933 x6
2 Bi 0.0000 0.0000 0.0000 x3
3 C 0.0000 0.0000 0.5000 x3

4.
This record from Alexandria describes a geometry-optimized Np3BiC structure. The functional is GGA-PBE.

Values from the calculation:
crystal system: cubic
D(E_F): 13.66 states/eV/f.u.
formation energy from the elements: 0.63 eV/f.u.

Lattice parameters (Å, degrees): 4.833 4.833 4.833 90.00 90.00 90.00
Space group Pm-3m (No. 221)
Inequivalent atoms, fractional coordinates:
1 Np 0.000 0.000 0.500 x3
2 Bi 0.500 0.500 0.500 x1
3 C 0.000 0.000 0.000 x1

5.
This record from Alexandria describes a geometry-optimized Bi2CO structure. The functional is GGA-PBE.

Values from the calculation:
crystal system: tetragonal
D(E_F): 0.78 states/eV/f.u.
formation energy (no corrections): 188 kJ/mol of formula units
energy relative to the lowest polymorph listed for this composition: 0 meV/atom

Lattice parameters (Å, degrees): 5.731 5.731 10.645 90.00 90.00 90.00
Space group I-42d (No. 122)
Inequivalent atoms, fractional coordinates:
1 Bi 0.245 0.250 0.125 x8
2 C 0.000 0.000 0.000 x4
3 O 0.000 0.000 0.500 x4

6.
This record from Alexandria describes a geometry-optimized Bi2CO5 structure. The functional is GGA-PBE.

Values from the calculation:
crystal system: triclinic
D(E_F): 0.00 states/eV/f.u.
formation energy (no corrections): -918 kJ/mol of formula units

Lattice parameters (Å, degrees): 5.336 5.341 5.417 112.38 113.34 90.18
Space group P1 (No. 1)
Inequivalent atoms, fractional coordinates:
1 Bi 0.000 0.000 0.000 x1
2 Bi 0.499 0.535 0.004 x1
3 C 0.632 0.152 0.443 x1
4 O 0.319 0.843 0.876 x1
5 O 0.413 0.251 0.469 x1
6 O 0.677 0.922 0.480 x1
7 O 0.791 0.272 0.384 x1
8 O 0.891 0.628 0.018 x1

7.
This record from Alexandria describes a geometry-optimized BiC2O2 structure. The functional is GGA-PBE.

Values from the calculation:
crystal system: tetragonal
D(E_F): 0.93 states/eV/f.u.
formation energy (no corrections): 447 kJ/mol of formula units
energy relative to the lowest polymorph listed for this composition: 0 meV/atom

Lattice parameters (Å, degrees): 7.408 7.408 2.503 90.00 90.00 90.00
Space group P4/mbm (No. 127)
Inequivalent atoms, fractional coordinates:
1 Bi 0.000 0.000 0.000 x2
2 C 0.197 0.303 0.000 x4
3 O 0.122 0.378 0.500 x4

8.
This record from Alexandria describes a geometry-optimized BiCO2 structure. The functional is GGA-PBE.

Values from the calculation:
crystal system: trigonal
D(E_F): 0.91 states/eV/f.u.
formation energy (no corrections): -296 kJ/mol of formula units
energy relative to the lowest polymorph listed for this composition: 0 meV/atom

Lattice parameters (Å, degrees): 3.3450 3.3450 31.9307 90.00 90.00 120.00
Space group R-3m (No. 166, hexagonal axes)
Inequivalent atoms, fractional coordinates:
1 Bi 0.0000 0.0000 0.0000 x3
2 C 0.0000 0.0000 0.5000 x3
3 O 0.0000 0.0000 0.4631 x6

9.
This record from Alexandria describes a geometry-optimized Bi2CO structure. The functional is GGA-PBE.

Values from the calculation:
crystal system: cubic
D(E_F): 1.37 states/eV/f.u.
formation energy (no corrections): 333 kJ/mol of formula units
energy relative to the lowest polymorph listed for this composition: 375 meV/atom

Lattice parameters (Å, degrees): 6.420 6.420 6.420 90.00 90.00 90.00
Space group Fm-3m (No. 225)
Inequivalent atoms, fractional coordinates:
1 Bi 0.250 0.250 0.250 x8
2 C 0.000 0.000 0.000 x4
3 O 0.000 0.000 0.500 x4

10.
This record from Alexandria describes a geometry-optimized BiC3O structure. The functional is GGA-PBE.

Values from the calculation:
crystal system: cubic
D(E_F): 8.63 states/eV/f.u.
formation energy (no corrections): 1904 kJ/mol of formula units
energy relative to the lowest polymorph listed for this composition: 1097 meV/atom

Lattice parameters (Å, degrees): 4.547 4.547 4.547 90.00 90.00 90.00
Space group Pm-3m (No. 221)
Inequivalent atoms, fractional coordinates:
1 Bi 0.000 0.000 0.000 x1
2 C 0.000 0.000 0.500 x3
3 O 0.500 0.500 0.500 x1

11.
This record from Alexandria describes a geometry-optimized Bi2CO5 structure. The functional is GGA-PBE.

Values from the calculation:
crystal system: orthorhombic
D(E_F): 0.00 states/eV/f.u.
formation energy (no corrections): -1033 kJ/mol of formula units

Lattice parameters (Å, degrees): 5.565 14.153 5.574 90.00 90.00 90.00
Space group Fmm2 (No. 42)
Inequivalent atoms, fractional coordinates:
1 Bi 0.000 0.162 0.000 x8
2 C 0.000 0.000 0.460 x4
3 O 0.000 0.000 0.226 x4
4 O 0.000 0.081 0.570 x8
5 O 0.250 0.250 0.253 x8

12.
This record from Alexandria describes a geometry-optimized BiCO3 structure. The functional is GGA-PBE.

Values from the calculation:
crystal system: cubic
D(E_F): 1.26 states/eV/f.u.
formation energy (no corrections): 111 kJ/mol of formula units

Lattice parameters (Å, degrees): 3.623 3.623 3.623 90.00 90.00 90.00
Space group Pm-3m (No. 221)
Inequivalent atoms, fractional coordinates:
1 Bi 0.000 0.000 0.000 x1
2 C 0.500 0.500 0.500 x1
3 O 0.000 0.500 0.500 x3

no.,energy (eV per atom)
1,-6.723
2,-3.804
3,-9.489
4,-10.259
5,-4.999
6,-6.411
7,-5.523
8,-6.521
9,-4.624
10,-3.356
11,-6.560
12,-5.366